(1)
The following is a DFT calculation (GGA-PBE) of a geometry-optimized Na2SmAgCl6 structure.

Calculated values
The density is 3.2 g/cm3. For the formation energy (no corrections), the calculation gives -1.716 eV per atom. The density of states at the Fermi level is 0.00 states/eV per cell.

```
10
Lattice="7.051 0.004 -0.001 3.528 6.108 0.001 3.525 2.040 6.308" Properties=species:S:1:pos:R:3 pbc="T T T"
Cl 9.608 4.155 1.584
Cl 8.147 5.882 4.772
Cl 5.707 6.248 1.585
Cl 4.939 4.122 4.772
Ag 10.578 6.115 3.593
Cl 8.068 2.226 4.772
Cl 5.842 1.820 1.586
Sm 3.526 2.038 0.223
Na 3.526 2.039 6.016
Na 7.052 4.074 2.732
```



(2)
The following is a DFT calculation (GGA-PBE) of a geometry-optimized NaSmAg2Cl8 structure.

Calculated values
The density is 3.6 g/cm3. For the formation energy (no corrections), the calculation gives -1.147 eV per atom. The density of states at the Fermi level is 8.53 states/eV per cell.

```
12
Lattice="6.749 0.000 0.000 0.000 6.749 0.000 -3.374 -3.374 6.745" Properties=species:S:1:pos:R:3 pbc="T T T"
Ag 3.374 3.374 0.000
Cl -1.081 1.335 2.376
Cl -2.000 1.164 5.848
Cl 4.538 5.375 0.896
Na 3.374 0.000 3.372
Cl 2.000 -1.164 5.848
Cl 1.081 5.414 2.376
Ag 0.000 3.374 3.372
Cl 2.211 1.374 0.896
Sm 0.000 0.000 0.000
Cl -2.040 4.455 4.369
Cl 2.040 2.294 4.369
```



(3)
The following is a DFT calculation (GGA-PBE) of a geometry-optimized NaAg2SnCl8 structure.

Calculated values
The density is 3.2 g/cm3. For the formation energy (no corrections), the calculation gives -0.824 eV per atom. The density of states at the Fermi level is 6.21 states/eV per cell.

```
12
Lattice="6.628 -0.521 -0.003 -0.510 6.377 -0.008 0.005 0.009 7.880" Properties=species:S:1:pos:R:3 pbc="T T T"
Cl 5.613 0.879 6.155
Ag 3.060 2.930 2.022
Cl 0.510 4.986 1.714
Cl 2.128 1.571 7.876
Cl 2.351 1.442 3.937
Cl 3.772 4.423 3.932
Cl 5.610 0.874 1.716
Ag 3.063 2.935 5.847
Sn 0.000 0.000 0.000
Na 0.003 0.005 3.940
Cl 3.995 4.294 -0.008
Cl 0.513 4.991 6.153
```



(4)
The following is a DFT calculation (GGA-PBE) of a geometry-optimized Na2AgSnCl8 structure.

Calculated values
The density is 2.5 g/cm3. For the formation energy (no corrections), the calculation gives -1.054 eV per atom. The density of states at the Fermi level is 3.10 states/eV per cell.

```
12
Lattice="-4.759 -3.948 -3.307 6.303 -1.606 -2.301 2.586 -5.200 5.778" Properties=species:S:1:pos:R:3 pbc="T T T"
Na 2.275 -3.697 -1.377
Cl -0.014 -1.978 -1.491
Ag 1.293 -2.600 2.889
Na 1.855 -7.058 1.547
Cl 2.495 -6.409 -1.051
Cl -0.746 -7.939 0.898
Cl 1.635 -4.346 1.220
Cl -2.699 -4.818 -2.145
Cl 6.829 -5.937 2.314
Sn 0.000 0.000 0.000
Cl 4.876 -2.815 -0.729
Cl 4.144 -8.777 1.660
```



> What is the formation energy (no corrections) in the fourth record?

-1.054 eV per atom



> Which formula does entry 4 have?

Na2AgSnCl8



What did the first record say?
The following is a DFT calculation (GGA-PBE) of a geometry-optimized Na2SmAgCl6 structure.

Calculated values
The density is 3.2 g/cm3. For the formation energy (no corrections), the calculation gives -1.716 eV per atom. The density of states at the Fermi level is 0.00 states/eV per cell.

```
10
Lattice="7.051 0.004 -0.001 3.528 6.108 0.001 3.525 2.040 6.308" Properties=species:S:1:pos:R:3 pbc="T T T"
Cl 9.608 4.155 1.584
Cl 8.147 5.882 4.772
Cl 5.707 6.248 1.585
Cl 4.939 4.122 4.772
Ag 10.578 6.115 3.593
Cl 8.068 2.226 4.772
Cl 5.842 1.820 1.586
Sm 3.526 2.038 0.223
Na 3.526 2.039 6.016
Na 7.052 4.074 2.732
```